[1]
First-principles (GGA-PBE) data for a geometry-optimized LiHo2Ga3Ni4 structure, as listed in the Alexandria database.

Output
Crystal system: tetragonal
SG: P-4m2 (115)
D(E_F) (states/eV/f.u.): 4.31
Total DFT energy (no corrections) (eV/atom): -4.813
Calculated formation energy (meV/atom): -486

Unit cell a=3.7957 b=3.7957 c=11.1480 alpha=90.00 beta=90.00 gamma=90.00
Element x y z (fractional)
Li 0.0000 0.0000 0.0000
Ho 0.0000 0.5000 0.7565
Ho 0.5000 0.0000 0.2435
Ga 0.0000 0.5000 0.3691
Ga 0.5000 0.0000 0.6309
Ga 0.5000 0.5000 0.0000
Ni 0.0000 0.0000 0.5000
Ni 0.0000 0.5000 0.1511
Ni 0.5000 0.0000 0.8489
Ni 0.5000 0.5000 0.5000


[2]
First-principles (GGA-PBE) data for a geometry-optimized LiHoGa4Ni2 structure, as listed in the Alexandria database.

Output
Crystal system: trigonal
SG: R-3m (166)
D(E_F) (states/eV/f.u.): 3.50
Total DFT energy (no corrections) (eV/atom): -4.237
Calculated formation energy (meV/atom): -466

Unit cell a=8.7892 b=8.7892 c=8.7892 alpha=27.10 beta=27.10 gamma=27.10
Element x y z (fractional)
Li 0.0000 0.0000 0.0000
Ho 0.5000 0.5000 0.5000
Ga 0.0986 0.0986 0.0986
Ga 0.3708 0.3708 0.3708
Ga 0.6292 0.6292 0.6292
Ga 0.9014 0.9014 0.9014
Ni 0.2664 0.2664 0.2664
Ni 0.7336 0.7336 0.7336


[3]
First-principles (GGA-PBE) data for a geometry-optimized Li2HoGaO4 structure, as listed in the Alexandria database.

Output
Crystal system: monoclinic
SG: P2/m (10)
D(E_F) (states/eV/f.u.): 0.00
Total DFT energy (no corrections) (eV/atom): -6.237
Formation energy from raw total energies (eV/atom): -2.329

Unit cell a=5.3269 b=3.1882 c=5.4035 alpha=90.00 beta=109.66 gamma=90.00
Element x y z (fractional)
Li 0.0000 0.0000 0.0000
Li 0.0000 0.5000 0.5000
Ho 0.5000 0.0000 0.5000
Ga 0.5000 0.5000 0.0000
O 0.2669 0.5000 0.2339
O 0.2676 0.0000 0.7775
O 0.7324 0.0000 0.2225
O 0.7331 0.5000 0.7661


[4]
First-principles (GGA-PBE) data for a geometry-optimized LiHoGa4O8 structure, as listed in the Alexandria database.

Output
Crystal system: trigonal
SG: R3m (160)
D(E_F) (states/eV/f.u.): 0.00
Total DFT energy (no corrections) (eV/atom): -6.282
Formation energy from raw total energies (eV/atom): -2.120

Unit cell a=6.0631 b=6.0631 c=6.0631 alpha=60.06 beta=60.06 gamma=60.06
Element x y z (fractional)
Li 0.0000 0.0000 0.0000
Ho 0.3784 0.3784 0.3784
Ga 0.0000 0.0000 0.4912
Ga 0.0000 0.4912 0.0000
Ga 0.4912 0.0000 0.0000
Ga 0.6141 0.6141 0.6141
O 0.2254 0.7453 0.7453
O 0.2356 0.2356 0.2356
O 0.2393 0.2393 0.7977
O 0.2393 0.7977 0.2393
O 0.7453 0.2254 0.7453
O 0.7453 0.7453 0.2254
O 0.7494 0.7494 0.7494
O 0.7977 0.2393 0.2393


[5]
First-principles (GGA-PBE) data for a geometry-optimized LiHoGaPb structure, as listed in the Alexandria database.

Output
Crystal system: cubic
SG: F-43m (216)
D(E_F) (states/eV/f.u.): 2.06
Total DFT energy (no corrections) (eV/atom): -3.639
Calculated formation energy (meV/atom): -332

Unit cell a=5.0789 b=5.0789 c=5.0789 alpha=60.00 beta=60.00 gamma=60.00
Element x y z (fractional)
Li 0.0000 0.0000 0.0000
Ho 0.5000 0.5000 0.5000
Ga 0.7500 0.7500 0.7500
Pb 0.2500 0.2500 0.2500


[6]
First-principles (GGA-PBE) data for a geometry-optimized LiHo2Ga4Pd3 structure, as listed in the Alexandria database.

Output
Crystal system: tetragonal
SG: P-4m2 (115)
D(E_F) (states/eV/f.u.): 5.23
Total DFT energy (no corrections) (eV/atom): -4.574
Calculated formation energy (meV/atom): -698

Unit cell a=3.9743 b=3.9743 c=11.6953 alpha=90.00 beta=90.00 gamma=90.00
Element x y z (fractional)
Li 0.0000 0.0000 0.0000
Ho 0.0000 0.5000 0.7449
Ho 0.5000 0.0000 0.2551
Ga 0.0000 0.0000 0.5000
Ga 0.0000 0.5000 0.1391
Ga 0.5000 0.0000 0.8609
Ga 0.5000 0.5000 0.5000
Pd 0.0000 0.5000 0.3550
Pd 0.5000 0.0000 0.6450
Pd 0.5000 0.5000 0.0000